No. 1
Below is a relaxed structure of Cs2Al3TlF12, with properties calculated at the GGA-PBE level. Values from VASP.

Results
- ΔE_f (raw): -3.2478 eV per atom
- Space-group type: R-3m (166)

Structure (Quantum ESPRESSO input):
```
&SYSTEM
  ibrav = 0, nat = 18, ntyp = 4
/
ATOMIC_SPECIES
Cs 132.91 Cs.upf
Al 26.98 Al.upf
Tl 204.38 Tl.upf
F 19.00 F.upf
CELL_PARAMETERS angstrom
3.593 2.075 6.511
-3.593 2.075 6.511
0.000 -4.149 6.511
ATOMIC_POSITIONS angstrom
Cs 0.000 0.000 2.336
Cs 0.000 0.000 17.197
Al -1.797 -1.037 6.511
Al -1.797 1.037 13.022
Al 0.000 2.075 6.511
Tl 0.000 0.000 9.767
F -1.983 -1.145 8.273
F 0.000 -1.549 6.681
F -1.342 0.775 6.681
F 0.000 -2.289 11.260
F -1.983 1.145 11.260
F -1.342 -0.775 12.852
F 1.342 0.775 6.681
F 1.983 -1.145 8.273
F 0.000 2.289 8.273
F 1.342 -0.775 12.852
F 0.000 1.549 12.852
F 1.983 1.145 11.260
```

***

No. 2
Below is a relaxed structure of Cs2AlTl2F6, with properties calculated at the GGA-PBE level. Values from VASP.

Results
- ΔE_f (raw): -2.5559 eV per atom
- Space-group type: C2/m (12)

Structure (Quantum ESPRESSO input):
```
&SYSTEM
  ibrav = 0, nat = 11, ntyp = 4
/
ATOMIC_SPECIES
Cs 132.91 Cs.upf
Al 26.98 Al.upf
Tl 204.38 Tl.upf
F 19.00 F.upf
CELL_PARAMETERS angstrom
3.454 -6.055 0.000
3.454 6.055 0.000
-0.743 0.000 6.983
ATOMIC_POSITIONS angstrom
Cs 3.454 4.074 0.000
Cs 3.454 -4.074 0.000
Al 3.454 0.000 0.000
Tl 3.082 1.604 3.491
Tl 3.082 -1.604 3.491
F 1.931 1.318 5.947
F 1.975 0.000 1.115
F 1.931 -1.318 5.947
F 4.234 1.318 1.036
F 4.189 0.000 5.867
F 4.234 -1.318 1.036
```

***

Question: What is the ΔE_f (raw) in the first record?
Answer: -3.2478 eV per atom

***

Question: What is the formula in the first record?
Answer: Cs2Al3TlF12

***

Question: The lowest ΔE_f (raw) belongs to which entry?
Answer: Cs2Al3TlF12